Record 1
{
  "formula": "CoBW2Cl",
  "functional": "PBE",
  "state": "optimized geometry",
  "cell": [[4.358, 0.000, 0.000], [0.000, 4.358, 0.000], [0.000, 0.000, 3.646]],
  "species": ["Co", "B", "W", "W", "Cl"],
  "fractional_positions": [[0.000, 0.000, 0.000], [0.000, 0.000, 0.500], [0.000, 0.500, 0.500], [0.500, 0.000, 0.500], [0.500, 0.500, 0.000]],
  "space_group": "P4/mmm (123)",
  "magmom_total_mub_per_cell": 0.0,
  "e_form_raw_mev_per_atom": 942
}

=====

Record 2
{
  "formula": "CrB3Cl",
  "functional": "PBE",
  "state": "optimized geometry",
  "cell": [[4.131, 0.000, 0.000], [0.000, 4.131, 0.000], [0.000, 0.000, 4.131]],
  "species": ["Cr", "B", "B", "B", "Cl"],
  "fractional_positions": [[0.000, 0.000, 0.000], [0.000, 0.000, 0.500], [0.000, 0.500, 0.000], [0.500, 0.000, 0.000], [0.500, 0.500, 0.500]],
  "space_group": "Pm-3m (221)",
  "magmom_total_mub_per_cell": 2.6,
  "e_form_raw_mev_per_atom": 1635,
  "polymorph_energy_ev_per_atom": 0.000
}

=====

Record 3
{
  "formula": "CrBCl3",
  "functional": "PBE",
  "state": "optimized geometry",
  "cell": [[4.821, 0.000, 0.000], [0.000, 4.821, 0.000], [0.000, 0.000, 4.821]],
  "species": ["Cr", "B", "Cl", "Cl", "Cl"],
  "fractional_positions": [[0.000, 0.000, 0.000], [0.500, 0.500, 0.500], [0.000, 0.000, 0.500], [0.000, 0.500, 0.000], [0.500, 0.000, 0.000]],
  "space_group": "Pm-3m (221)",
  "magmom_total_mub_per_cell": 4.0,
  "e_form_raw_mev_per_atom": 283,
  "polymorph_energy_ev_per_atom": 0.000
}

=====

Record 4
{
  "formula": "Cr2BCl",
  "functional": "PBE",
  "state": "optimized geometry",
  "cell": [[-2.557, 2.557, 5.113], [2.557, -2.557, 5.113], [2.557, 2.557, -5.113]],
  "species": ["Cr", "Cr", "Cr", "Cr", "B", "B", "Cl", "Cl"],
  "fractional_positions": [[0.055, 0.625, 0.930], [0.375, 0.305, 0.430], [0.695, 0.125, 0.070], [0.875, 0.945, 0.570], [0.000, 0.000, 0.000], [0.750, 0.250, 0.500], [0.250, 0.750, 0.500], [0.500, 0.500, 0.000]],
  "space_group": "I-42d (122)",
  "magmom_total_mub_per_cell": 12.0,
  "e_form_raw_mev_per_atom": 454,
  "polymorph_energy_ev_per_atom": 0.000
}

=====

Record 5
{
  "formula": "CrBCl3",
  "functional": "PBE",
  "state": "optimized geometry",
  "cell": [[4.458, 0.000, 0.000], [0.000, 4.458, 0.000], [0.000, 0.000, 4.458]],
  "species": ["Cr", "B", "Cl", "Cl", "Cl"],
  "fractional_positions": [[0.000, 0.000, 0.000], [0.500, 0.500, 0.500], [0.000, 0.500, 0.500], [0.500, 0.000, 0.500], [0.500, 0.500, 0.000]],
  "space_group": "Pm-3m (221)",
  "magmom_total_mub_per_cell": 4.7,
  "e_form_raw_mev_per_atom": 379,
  "polymorph_energy_ev_per_atom": 0.096
}

=====

Record 6
{
  "formula": "CrB3Cl",
  "functional": "PBE",
  "state": "optimized geometry",
  "cell": [[3.768, 0.000, 0.000], [0.000, 3.768, 0.000], [0.000, 0.000, 3.768]],
  "species": ["Cr", "B", "B", "B", "Cl"],
  "fractional_positions": [[0.000, 0.000, 0.000], [0.000, 0.500, 0.500], [0.500, 0.000, 0.500], [0.500, 0.500, 0.000], [0.500, 0.500, 0.500]],
  "space_group": "Pm-3m (221)",
  "magmom_total_mub_per_cell": 0.0,
  "e_form_raw_mev_per_atom": 2466,
  "polymorph_energy_ev_per_atom": 0.831
}

=====

Record 7
{
  "formula": "Cr2BCl",
  "functional": "PBE",
  "state": "optimized geometry",
  "cell": [[0.000, 2.777, 2.777], [2.777, 0.000, 2.777], [2.777, 2.777, 0.000]],
  "species": ["Cr", "Cr", "B", "Cl"],
  "fractional_positions": [[0.250, 0.250, 0.250], [0.750, 0.750, 0.750], [0.000, 0.000, 0.000], [0.500, 0.500, 0.500]],
  "space_group": "Fm-3m (225)",
  "magmom_total_mub_per_cell": 2.1,
  "e_form_raw_mev_per_atom": 725,
  "polymorph_energy_ev_per_atom": 0.271
}

=====

Record 8
{
  "formula": "Cr4B2Cl",
  "functional": "PBE",
  "state": "optimized geometry",
  "cell": [[-2.215, 2.215, 5.241], [2.215, -2.215, 5.241], [2.215, 2.215, -5.241]],
  "species": ["Cr", "Cr", "Cr", "Cr", "B", "B", "Cl"],
  "fractional_positions": [[0.000, 0.500, 0.500], [0.232, 0.232, 0.000], [0.500, 0.000, 0.500], [0.768, 0.768, 0.000], [0.422, 0.422, 0.000], [0.578, 0.578, 0.000], [0.000, 0.000, 0.000]],
  "space_group": "I4/mmm (139)",
  "magmom_total_mub_per_cell": 12.8,
  "e_form_raw_mev_per_atom": 887
}

=====

Record 9
{
  "formula": "CsCrB2Cl8",
  "functional": "PBE",
  "state": "optimized geometry",
  "cell": [[3.095, 1.787, 9.616], [-3.095, 1.787, 9.616], [0.000, -3.574, 9.616]],
  "species": ["Cs", "Cr", "B", "B", "Cl", "Cl", "Cl", "Cl", "Cl", "Cl", "Cl", "Cl"],
  "fractional_positions": [[0.000, 0.000, 0.000], [0.500, 0.500, 0.500], [0.243, 0.243, 0.243], [0.757, 0.757, 0.757], [0.066, 0.493, 0.773], [0.227, 0.934, 0.507], [0.308, 0.308, 0.308], [0.493, 0.773, 0.066], [0.507, 0.227, 0.934], [0.692, 0.692, 0.692], [0.773, 0.066, 0.493], [0.934, 0.507, 0.227]],
  "space_group": "R-3 (148)",
  "magmom_total_mub_per_cell": 5.0,
  "e_form_raw_mev_per_atom": -977
}

=====

Values of V, in order: 13.850; 14.098; 22.411; 16.721; 17.720; 10.703; 10.710; 14.696; 26.593, all in A^3/atom.